Computed, not measured: a relaxed PmPuTh2 crystal at the PBE level of DFT.

Computed properties:
The crystal system is trigonal. The value obtained for the size of the total moment is 5.5 μB/f.u. The energy relative to the elements comes out at 0.127 eV per atom. As for the total energy: -100.244 eV per cell. As for the polymorph energy (0 for the lowest one): 10 meV per atom.

abc: 3.5527 3.5527 34.5003
angles: 90.00 90.00 120.00
Space group R3m (No. 160, hexagonal axes)
One atom of each set of equivalent atoms:
Pm 0.0000 0.0000 0.0000 [3 per cell]
Pu 0.0000 0.0000 0.1699 [3 per cell]
Th 0.0000 0.0000 0.5813 [3 per cell]
Th 0.0000 0.0000 0.7550 [3 per cell]